(1)
The following is a GGA-PBE calculation of ZrIn2W after structural relaxation, from the Alexandria database.

Space-group type: Fm-3m, No. 225
Formation energy, eV per atom: 0.378

a b c (Å): 4.8353 4.8353 4.8353
angles (deg): 60.00 60.00 60.00
Atoms (fractional coordinates):
Zr 0.0000 0.0000 0.0000
In 0.2500 0.2500 0.2500
In 0.7500 0.7500 0.7500
W 0.5000 0.5000 0.5000

---

(2)
The following is a GGA-PBE calculation of ZrCr2Cd after structural relaxation, from the Alexandria database.

Space-group type: Immm, No. 71
Formation energy, eV per atom: 0.601

a b c (Å): 5.1380 5.1380 5.1380
angles (deg): 140.78 128.19 66.86
Atoms (fractional coordinates):
Zr 0.0000 0.0000 0.0000
Cr 0.2440 0.7440 0.5000
Cr 0.7560 0.2560 0.5000
Cd 0.5000 0.5000 0.0000

---

(3)
The following is a GGA-PBE calculation of VSi3P after structural relaxation, from the Alexandria database.

Space-group type: Pm-3m, No. 221
Uncorrected formation energy, eV per atom: 0.8740

a b c (Å): 4.5969 4.5969 4.5969
angles (deg): 90.00 90.00 90.00
Atoms (fractional coordinates):
V 0.0000 0.0000 0.0000
Si 0.0000 0.0000 0.5000
Si 0.0000 0.5000 0.0000
Si 0.5000 0.0000 0.0000
P 0.5000 0.5000 0.5000

---

(4)
The following is a GGA-PBE calculation of Y3TlO after structural relaxation, from the Alexandria database.

Space-group type: R-3, No. 148
Uncorrected formation energy, eV per atom: -1.1058

a b c (Å): 8.4397 8.4397 8.4397
angles (deg): 43.12 43.12 43.12
Atoms (fractional coordinates):
Y 0.0952 0.7834 0.4459
Y 0.2166 0.5541 0.9048
Y 0.4459 0.0952 0.7834
Y 0.5541 0.9048 0.2166
Y 0.7834 0.4459 0.0952
Y 0.9048 0.2166 0.5541
Tl 0.3360 0.3360 0.3360
Tl 0.6640 0.6640 0.6640
O 0.1637 0.1637 0.1637
O 0.8363 0.8363 0.8363

---

(5)
The following is a GGA-PBE calculation of MgCo2Cu after structural relaxation, from the Alexandria database.

Space-group type: R-3m, No. 166
Formation energy, eV per atom: 0.272

a b c (Å): 8.6352 8.6352 8.6352
angles (deg): 17.45 17.45 17.45
Atoms (fractional coordinates):
Mg 0.0000 0.0000 0.0000
Co 0.2472 0.2472 0.2472
Co 0.7528 0.7528 0.7528
Cu 0.5000 0.5000 0.5000

---

(6)
The following is a GGA-PBE calculation of Na3TmPu3S8 after structural relaxation, from the Alexandria database.

Space-group type: R-3m, No. 166
Uncorrected formation energy, eV per atom: -1.6019

a b c (Å): 8.1001 8.1001 8.1001
angles (deg): 59.21 59.21 59.21
Atoms (fractional coordinates):
Na 0.0000 0.5000 0.5000
Na 0.5000 0.0000 0.5000
Na 0.5000 0.5000 0.0000
Tm 0.5000 0.5000 0.5000
Pu 0.0000 0.0000 0.5000
Pu 0.0000 0.5000 0.0000
Pu 0.5000 0.0000 0.0000
S 0.2413 0.2413 0.2413
S 0.2425 0.7378 0.7378
S 0.2622 0.2622 0.7575
S 0.2622 0.7575 0.2622
S 0.7378 0.2425 0.7378
S 0.7378 0.7378 0.2425
S 0.7575 0.2622 0.2622
S 0.7587 0.7587 0.7587

---

(7)
The following is a GGA-PBE calculation of Hg3IrO after structural relaxation, from the Alexandria database.

Space-group type: Pm-3m, No. 221
Uncorrected formation energy, eV per atom: 0.9198

a b c (Å): 5.2305 5.2305 5.2305
angles (deg): 90.00 90.00 90.00
Atoms (fractional coordinates):
Hg 0.0000 0.0000 0.5000
Hg 0.0000 0.5000 0.0000
Hg 0.5000 0.0000 0.0000
Ir 0.0000 0.0000 0.0000
O 0.5000 0.5000 0.5000

---

(8)
The following is a GGA-PBE calculation of SrCa2CdCu after structural relaxation, from the Alexandria database.

Space-group type: P4/mmm, No. 123
Formation energy, eV per atom: -0.035

a b c (Å): 5.6041 5.6041 5.2319
angles (deg): 90.00 90.00 90.00
Atoms (fractional coordinates):
Sr 0.0000 0.0000 0.0000
Ca 0.0000 0.5000 0.5000
Ca 0.5000 0.0000 0.5000
Cd 0.5000 0.5000 0.0000
Cu 0.5000 0.5000 0.5000

---

(9)
The following is a GGA-PBE calculation of RbLi2La after structural relaxation, from the Alexandria database.

Space-group type: Fm-3m, No. 225
Formation energy, eV per atom: 0.442

a b c (Å): 5.9432 5.9432 5.9432
angles (deg): 60.00 60.00 60.00
Atoms (fractional coordinates):
Rb 0.0000 0.0000 0.0000
Li 0.2500 0.2500 0.2500
Li 0.7500 0.7500 0.7500
La 0.5000 0.5000 0.5000

---

(10)
The following is a GGA-PBE calculation of Mg2CdCl6 after structural relaxation, from the Alexandria database.

Space-group type: C2/m, No. 12
Uncorrected formation energy, eV per atom: -1.5279

a b c (Å): 6.6277 6.6277 10.2925
angles (deg): 94.86 94.86 35.01
Atoms (fractional coordinates):
Mg 0.2159 0.2159 0.2268
Mg 0.7841 0.7841 0.7732
Cd 0.5000 0.5000 0.5000
Cl 0.1309 0.1309 0.4278
Cl 0.3373 0.3373 0.8851
Cl 0.4018 0.4018 0.2706
Cl 0.5982 0.5982 0.7294
Cl 0.6627 0.6627 0.1149
Cl 0.8691 0.8691 0.5722

---

(11)
The following is a GGA-PBE calculation of NdCdAu4 after structural relaxation, from the Alexandria database.

Space-group type: Cmmm, No. 65
Formation energy, eV per atom: -0.478

a b c (Å): 4.7595 4.7595 6.6904
angles (deg): 90.00 90.00 120.25
Atoms (fractional coordinates):
Nd 0.0000 0.0000 0.0000
Cd 0.0000 0.0000 0.5000
Au 0.3333 0.6667 0.2670
Au 0.3333 0.6667 0.7330
Au 0.6667 0.3333 0.2670
Au 0.6667 0.3333 0.7330

---

(12)
The following is a GGA-PBE calculation of TeP2Ir after structural relaxation, from the Alexandria database.

Space-group type: C2/m, No. 12
Uncorrected formation energy, eV per atom: -0.0705

a b c (Å): 3.8074 3.8074 7.9356
angles (deg): 106.27 106.27 52.93
Atoms (fractional coordinates):
Te 0.0000 0.0000 0.0000
P 0.1360 0.1360 0.3567
P 0.8640 0.8640 0.6433
Ir 0.5000 0.5000 0.5000